1.
# Sc2CdSb (PBEsol, relaxed)
data_Sc2CdSb
_chemical_formula_sum 'Sc2 Cd1 Sb1'
_symmetry_space_group_name_H-M 'P 1'
_symmetry_Int_Tables_number 1
_cell_length_a 5.248
_cell_length_b 5.248
_cell_length_c 3.193
_cell_angle_alpha 90.00
_cell_angle_beta 90.00
_cell_angle_gamma 104.35
loop_
_symmetry_equiv_pos_as_xyz
'x,y,z'
loop_
_atom_site_label
_atom_site_fract_x
_atom_site_fract_y
_atom_site_fract_z
_atom_site_occupancy
Sc1 0.000 0.500 0.000 1
Sc2 0.500 0.000 0.000 1
Cd1 0.000 0.000 0.500 1
Sb1 0.500 0.500 0.500 1
# Excess energy over the best structure of this formula in the dataset ... 54 meV per atom
# Calculated volume ... 21.295 Å³ per atom
# Formation energy without anion corrections ... -509 meV per atom
# Crystal system ... orthorhombic
# VASP energy ... -5.250 eV/atom

***

2.
# YZn2Tc (PBEsol, relaxed)
data_YZn2Tc
_chemical_formula_sum 'Y1 Zn2 Tc1'
_symmetry_space_group_name_H-M 'P 1'
_symmetry_Int_Tables_number 1
_cell_length_a 8.369
_cell_length_b 8.369
_cell_length_c 8.369
_cell_angle_alpha 22.13
_cell_angle_beta 22.13
_cell_angle_gamma 22.13
loop_
_symmetry_equiv_pos_as_xyz
'x,y,z'
loop_
_atom_site_label
_atom_site_fract_x
_atom_site_fract_y
_atom_site_fract_z
_atom_site_occupancy
Y1 0.000 0.000 0.000 1
Zn1 0.509 0.509 0.509 1
Zn2 0.767 0.767 0.767 1
Tc1 0.249 0.249 0.249 1
# Excess energy over the best structure of this formula in the dataset ... 407 meV per atom
# Formation enthalpy at 0 K ... 1.3 eV per formula unit
# Calculated volume ... 18.230 Å³ per atom
# Crystal system ... trigonal
# VASP energy ... -4.992 eV/atom

***

3.
# KMgIn2 (PBEsol, relaxed)
data_KMgIn2
_chemical_formula_sum 'K1 Mg1 In2'
_symmetry_space_group_name_H-M 'P 1'
_symmetry_Int_Tables_number 1
_cell_length_a 3.600
_cell_length_b 3.600
_cell_length_c 8.605
_cell_angle_alpha 90.00
_cell_angle_beta 90.00
_cell_angle_gamma 90.00
loop_
_symmetry_equiv_pos_as_xyz
'x,y,z'
loop_
_atom_site_label
_atom_site_fract_x
_atom_site_fract_y
_atom_site_fract_z
_atom_site_occupancy
K1 0.000 0.000 0.000 1
Mg1 0.000 0.000 0.500 1
In1 0.500 0.500 0.302 1
In2 0.500 0.500 0.698 1
# Formation enthalpy at 0 K ... -0.4 eV per formula unit
# Calculated volume ... 27.886 Å³ per atom
# Crystal system ... tetragonal
# VASP energy ... -2.303 eV/atom

***

no.,N(E_F) (states/eV per cell)
1,4.17
2,3.95
3,1.65